Entry from Alexandria: a geometry-optimized DyBi2P2Pt7 structure (GGA-PBE).

Summary:
The calculation puts the final energy at -146.952 eV/cell. For the calculated volume, the calculation gives 480 Å³ per cell. As for the density of states at the Fermi level: 2.827 states/eV/f.u.

Lattice parameters (Å, degrees): 4.0236 4.0236 29.6431 90.00 90.00 90.00
Space group I4/mmm (No. 139)
Symmetry-distinct sites (fractional):
Dy (0.0000, 0.0000, 0.0000) [2 per cell]
Bi (0.0000, 0.0000, 0.2101) [4 per cell]
P (0.0000, 0.0000, 0.3834) [4 per cell]
Pt (0.0000, 0.0000, 0.3063) [4 per cell]
Pt (0.0000, 0.0000, 0.5000) [2 per cell]
Pt (0.0000, 0.5000, 0.0734) [8 per cell]

Entry from Alexandria: a geometry-optimized Dy6BiP2S3 structure (GGA-PBE).

Summary:
The calculation puts the final energy at -149.325 eV/cell. For the calculated volume, the calculation gives 562 Å³ per cell. Its formation energy from raw total energies is -1.664 eV per atom. As for the density of states at the Fermi level: 3.943 states/eV/f.u.

Lattice parameters (Å, degrees): 17.5829 4.0341 8.1220 90.00 102.62 90.00
Space group C2/m (No. 12)
Symmetry-distinct sites (fractional):
Dy (0.0047, 0.0000, 0.2761) [4 per cell]
Dy (0.1701, 0.5000, 0.5788) [4 per cell]
Dy (0.1761, 0.5000, 0.1012) [4 per cell]
Bi (0.0000, 0.5000, 0.0000) [2 per cell]
P (0.1680, 0.0000, 0.3364) [4 per cell]
S (0.0000, 0.5000, 0.5000) [2 per cell]
S (0.1638, 0.0000, 0.8328) [4 per cell]

Question: What is the formula in the second record?
Answer: Dy6BiP2S3

Question: Which value of density of states at the Fermi level does entry 2 give?
Answer: 3.943 states/eV/f.u.